The following is a PBEsol calculation of a geometry-optimized SrTa2SiRu structure, from Alexandria via LeMat-Bulk.

**VASP energy**: -7.438 eV/atom
**ρ**: 7.847 g/cm3

Unit cell a=4.7168 b=4.7168 c=5.5044 alpha=90.00 beta=90.00 gamma=90.00
Last column: nearest neighbours and their distance in Å.
Space group P4/mmm (No. 123)
Unique sites:
1 Sr 0.0000 0.0000 0.0000 x1  2 Ru 2.75
2 Ta 0.0000 0.5000 0.5000 x2  2 Ru 2.36
3 Si 0.5000 0.5000 0.0000 x1  4 Sr 3.34, 8 Ta 3.62
4 Ru 0.0000 0.0000 0.5000 x1  4 Ta 2.36

=====

The following is a PBEsol calculation of a geometry-optimized Cu2SbMo structure, from Alexandria via LeMat-Bulk.

**VASP energy**: -6.005 eV/atom
**ρ**: 9.734 g/cm3

Unit cell a=3.7832 b=3.8822 c=4.0048 alpha=90.00 beta=90.00 gamma=90.00
Last column: nearest neighbours and their distance in Å.
Space group Pmmm (No. 47)
Unique sites:
1 Cu 0.0000 0.0000 0.0000 x1  4 Mo 2.71, 4 Cu 2.75, 4 Sb 2.79
2 Cu 0.5000 0.0000 0.5000 x1  4 Sb 2.71, 4 Cu 2.75, 4 Mo 2.79
3 Sb 0.0000 0.5000 0.5000 x1  8 Cu 2.71-2.79, 4 Mo 2.75
4 Mo 0.5000 0.5000 0.0000 x1  8 Cu 2.71-2.79, 4 Sb 2.75

=====

The following is a PBEsol calculation of a geometry-optimized Li3CrO4 structure, from Alexandria via LeMat-Bulk.

**Relative energy among the computed polymorphs**: 0.059 eV/atom
**VASP energy**: -6.635 eV/atom
**ρ**: 2.579 g/cm3

Unit cell a=5.0476 b=5.3743 c=7.6563 alpha=82.15 beta=72.31 gamma=62.93
Last column: nearest neighbours and their distance in Å.
Space group P1 (No. 1)
Unique sites:
1 Li 0.0000 0.0000 0.0000 x1  4 O 1.91-2.03
2 Li 0.0159 0.5369 0.1607 x1  4 O 2.01-2.06
3 Li 0.3488 0.4858 0.4100 x1  3 O 1.88-2.03
4 Li 0.5846 0.8917 0.8047 x1  4 O 1.92-2.12
5 Li 0.7776 0.9019 0.4586 x1  4 O 1.95-2.01
6 Li 0.8466 0.3962 0.5308 x1  4 O 1.95-1.99
7 Cr 0.2343 0.4738 0.7644 x1  4 O 1.66-1.73
8 Cr 0.4052 0.9231 0.2315 x1  4 O 1.68-1.73
9 O 0.1082 0.3043 0.9462 x1  1 Cr 1.68
10 O 0.1235 0.8275 0.2321 x1  1 Cr 1.72
11 O 0.2338 0.2452 0.3269 x1  1 Cr 1.70, 1 Li 1.88
12 O 0.3205 0.7103 0.8216 x1  1 Cr 1.66
13 O 0.5592 0.2280 0.6194 x1  1 Cr 1.73
14 O 0.6129 0.6795 0.3698 x1  1 Cr 1.73
15 O 0.6738 0.8953 0.0307 x1  1 Cr 1.68
16 O 0.9765 0.6249 0.6327 x1  1 Cr 1.73

=====

The following is a PBEsol calculation of a geometry-optimized BaAgP structure, from Alexandria via LeMat-Bulk.

**VASP energy**: -4.476 eV/atom
**ρ**: 6.049 g/cm3
**ΔH_f (0 K)**: -0.73 eV per atom

Unit cell a=4.3992 b=4.3992 c=4.5236 alpha=90.00 beta=90.00 gamma=120.00
Last column: nearest neighbours and their distance in Å.
Space group P-6m2 (No. 187)
Unique sites:
1 Ba 0.0000 0.0000 0.0000 x1  6 Ag 3.40, 6 P 3.40
2 Ag 0.6667 0.3333 0.5000 x1  3 P 2.54
3 P 0.3333 0.6667 0.5000 x1  3 Ag 2.54

=====

The following is a PBEsol calculation of a geometry-optimized KCd3As structure, from Alexandria via LeMat-Bulk.

**VASP energy**: -1.771 eV/atom
**ρ**: 4.800 g/cm3
**ΔH_f (0 K)**: 0.20 eV per atom

Unit cell a=5.3846 b=5.3846 c=5.3846 alpha=90.00 beta=90.00 gamma=90.00
Last column: nearest neighbours and their distance in Å.
Space group Pm-3m (No. 221)
Unique sites:
1 K 0.0000 0.0000 0.0000 x1  12 Cd 3.81
2 Cd 0.0000 0.5000 0.5000 x3  2 As 2.69
3 As 0.5000 0.5000 0.5000 x1  6 Cd 2.69

=====

The following is a PBEsol calculation of a geometry-optimized ZnCoPt3 structure, from Alexandria via LeMat-Bulk.

**VASP energy**: -5.064 eV/atom
**ρ**: 13.141 g/cm3
**ΔH_f (0 K)**: 0.98 eV per atom

Unit cell a=4.4758 b=4.4758 c=4.4758 alpha=90.00 beta=90.00 gamma=90.00
Last column: nearest neighbours and their distance in Å.
Space group Pm-3m (No. 221)
Unique sites:
1 Zn 0.0000 0.0000 0.0000 x1  12 Pt 3.16
2 Co 0.5000 0.5000 0.5000 x1  6 Pt 2.24
3 Pt 0.0000 0.5000 0.5000 x3  2 Co 2.24

=====

The following is a PBEsol calculation of a geometry-optimized CaMn2Rh structure, from Alexandria via LeMat-Bulk.

**VASP energy**: -7.015 eV/atom
**ρ**: 6.216 g/cm3
**ΔH_f (0 K)**: 0.43 eV per atom

Unit cell a=3.2126 b=4.5472 c=9.2477 alpha=90.00 beta=90.00 gamma=90.00
Last column: nearest neighbours and their distance in Å.
Space group Imm2 (No. 44)
Unique sites:
1 Ca 0.0000 0.0000 0.0000 x2  2 Rh 2.80, 8 Mn 2.82-3.05
2 Mn 0.0000 0.0000 0.5479 x2  2 Rh 2.48
3 Mn 0.0000 0.5000 0.7808 x2  4 Rh 2.80, 4 Mn 2.95-3.13, 4 Ca 3.05
4 Rh 0.0000 0.5000 0.2518 x2  2 Mn 2.48

=====

The following is a PBEsol calculation of a geometry-optimized LuRh3 structure, from Alexandria via LeMat-Bulk.

**VASP energy**: -7.875 eV/atom
**ρ**: 12.325 g/cm3
**ΔH_f (0 K)**: -0.55 eV per atom

Unit cell a=5.1345 b=5.1345 c=25.6892 alpha=90.00 beta=90.00 gamma=120.00
Last column: nearest neighbours and their distance in Å.
Space group R-3m (No. 166, hexagonal axes)
Unique sites:
1 Lu 0.0000 0.0000 0.0000 x3  6 Rh 2.96
2 Lu 0.0000 0.0000 0.1391 x6  12 Rh 2.94-3.21, 3 Lu 3.28
3 Rh 0.0000 0.0000 0.3332 x6  6 Rh 2.59-2.60
4 Rh 0.0000 0.0000 0.5000 x3  6 Rh 2.61
5 Rh 0.0009 0.5005 0.9169 x18  7 Rh 2.56-2.61

=====

The following is a PBEsol calculation of a geometry-optimized La2CoAgPb structure, from Alexandria via LeMat-Bulk.

**VASP energy**: -4.181 eV/atom
**ρ**: 5.965 g/cm3
**ΔH_f (0 K)**: 0.97 eV per atom

Unit cell a=6.0150 b=6.0150 c=5.0152 alpha=90.00 beta=90.00 gamma=90.00
Last column: nearest neighbours and their distance in Å.
Space group P4/mmm (No. 123)
Unique sites:
1 La 0.0000 0.5000 0.0000 x2  2 Pb 3.01
2 Co 0.0000 0.0000 0.5000 x1  8 La 3.92, 4 Ag 4.25
3 Ag 0.5000 0.5000 0.5000 x1  2 Pb 2.51
4 Pb 0.5000 0.5000 0.0000 x1  2 Ag 2.51

=====

The following is a PBEsol calculation of a geometry-optimized BeCuAs structure, from Alexandria via LeMat-Bulk.

**VASP energy**: -4.200 eV/atom
**ρ**: 6.322 g/cm3
**ΔH_f (0 K)**: 0.28 eV per atom

Unit cell a=2.6714 b=2.6714 c=10.8553 alpha=90.00 beta=90.00 gamma=90.00
Last column: nearest neighbours and their distance in Å.
Space group I4mm (No. 107)
Unique sites:
1 Be 0.0000 0.0000 0.0000 x2  4 Cu 2.31
2 Cu 0.0000 0.0000 0.6227 x2  4 Be 2.31
3 As 0.0000 0.0000 0.3214 x2  4 As 2.67, 4 Be 2.71, 4 Cu 2.87

=====

The following is a PBEsol calculation of a geometry-optimized SmB2Ru3 structure, from Alexandria via LeMat-Bulk.

**VASP energy**: -8.721 eV/atom
**ρ**: 10.115 g/cm3
**ΔH_f (0 K)**: -0.45 eV per atom

Unit cell a=5.4829 b=5.4829 c=2.9963 alpha=90.00 beta=90.00 gamma=120.00
Last column: nearest neighbours and their distance in Å.
Space group P6/mmm (No. 191)
Unique sites:
1 Sm 0.0000 0.0000 0.0000 x1  2 Sm 3.00, 12 Ru 3.12, 6 B 3.17
2 B 0.3333 0.6667 0.0000 x2  6 Ru 2.18
3 Ru 0.0000 0.5000 0.5000 x3  4 B 2.18

=====

The following is a PBEsol calculation of a geometry-optimized Mn2GeCCl structure, from Alexandria via LeMat-Bulk.

**VASP energy**: -6.572 eV/atom
**ρ**: 5.057 g/cm3

Unit cell a=3.8947 b=3.8947 c=4.9785 alpha=90.00 beta=90.00 gamma=90.00
Last column: nearest neighbours and their distance in Å.
Space group P4/mmm (No. 123)
Unique sites:
1 Mn 0.0000 0.5000 0.0000 x2  2 C 1.95
2 Ge 0.0000 0.0000 0.5000 x1  2 C 2.49, 4 Cl 2.75
3 C 0.0000 0.0000 0.0000 x1  4 Mn 1.95
4 Cl 0.5000 0.5000 0.5000 x1  4 Ge 2.75